Entry from OQMD via LeMat-Bulk: HoCdAu after structural relaxation (PBE-GGA).

Values from the calculation:
- magnetization (μB/cell) = 0.0
- uncorrected energy (eV/atom) = -3.577

Lattice parameters (Å, degrees): 7.775 7.775 3.899 90.00 90.00 120.00
Fractional coordinates of all 9 atoms:
Ho  0.000  0.402  0.000
Ho  0.402  0.000  0.000
Ho  0.598  0.598  0.000
Cd  0.000  0.736  0.500
Cd  0.264  0.264  0.500
Cd  0.736  0.000  0.500
Au  0.000  0.000  0.000
Au  0.333  0.667  0.500
Au  0.667  0.333  0.500

Entry from OQMD via LeMat-Bulk: Ho3Cd3InAu2 after structural relaxation (PBE-GGA).

Values from the calculation:
- magnetization (μB/cell) = 0.0
- uncorrected energy (eV/atom) = -3.433

Lattice parameters (Å, degrees): 7.916 7.916 3.855 90.00 90.00 120.00
Fractional coordinates of all 9 atoms:
Ho  0.000  0.411  0.000
Ho  0.411  0.000  0.000
Ho  0.589  0.589  0.000
Cd  0.000  0.728  0.500
Cd  0.272  0.272  0.500
Cd  0.728  0.000  0.500
In  0.000  0.000  0.000
Au  0.333  0.667  0.500
Au  0.667  0.333  0.500

Entry from OQMD via LeMat-Bulk: Ho3Cd3In2Au after structural relaxation (PBE-GGA).

Values from the calculation:
- magnetization (μB/cell) = 0.0
- uncorrected energy (eV/atom) = -3.260

Lattice parameters (Å, degrees): 7.778 7.778 4.138 90.00 90.00 120.00
Fractional coordinates of all 9 atoms:
Ho  0.000  0.392  0.000
Ho  0.392  0.000  0.000
Ho  0.608  0.608  0.000
Cd  0.000  0.742  0.500
Cd  0.258  0.258  0.500
Cd  0.742  0.000  0.500
In  0.333  0.667  0.500
In  0.667  0.333  0.500
Au  0.000  0.000  0.000

Entry from OQMD via LeMat-Bulk: NdHoCd2Au4 after structural relaxation (PBE-GGA).

Values from the calculation:
- magnetization (μB/cell) = 0.0
- uncorrected energy (eV/atom) = -3.688

Lattice parameters (Å, degrees): 4.976 4.976 7.028 90.00 90.00 90.00
Fractional coordinates of all 8 atoms:
Nd  0.000  0.000  0.000
Ho  0.500  0.500  0.500
Cd  0.000  0.000  0.500
Cd  0.500  0.500  0.000
Au  0.000  0.500  0.262
Au  0.000  0.500  0.738
Au  0.500  0.000  0.262
Au  0.500  0.000  0.738

Entry from OQMD via LeMat-Bulk: Pr2HoCd3Au3 after structural relaxation (PBE-GGA).

Values from the calculation:
- magnetization (μB/cell) = 0.0
- uncorrected energy (eV/atom) = -3.607

Lattice parameters (Å, degrees): 4.008 7.888 7.888 119.70 90.00 90.00
Fractional coordinates of all 9 atoms:
Pr  0.000  0.202  0.798
Pr  0.000  0.798  0.202
Ho  0.000  0.392  0.392
Cd  0.500  0.057  0.057
Cd  0.500  0.538  0.795
Cd  0.500  0.795  0.538
Au  0.000  0.793  0.793
Au  0.500  0.139  0.462
Au  0.500  0.462  0.139

Entry from OQMD via LeMat-Bulk: HoCdAuS3 after structural relaxation (PBE-GGA).

Values from the calculation:
- magnetization (μB/cell) = 0.0
- uncorrected energy (eV/atom) = -4.482

Lattice parameters (Å, degrees): 7.010 7.010 10.469 90.00 90.00 146.86
Fractional coordinates of all 12 atoms:
Ho  0.000  0.000  0.000
Ho  0.000  0.000  0.500
Cd  0.306  0.694  0.750
Cd  0.694  0.306  0.250
Au  0.355  0.645  0.250
Au  0.645  0.355  0.750
S  0.071  0.929  0.250
S  0.364  0.636  0.029
S  0.364  0.636  0.471
S  0.636  0.364  0.529
S  0.636  0.364  0.971
S  0.929  0.071  0.750

Entry from OQMD via LeMat-Bulk: TbHoCd2Au4 after structural relaxation (PBE-GGA).

Values from the calculation:
- magnetization (μB/cell) = 0.0
- uncorrected energy (eV/atom) = -3.688

Lattice parameters (Å, degrees): 4.931 4.931 6.974 90.00 90.00 90.00
Fractional coordinates of all 8 atoms:
Tb  0.000  0.000  0.000
Ho  0.500  0.500  0.500
Cd  0.000  0.000  0.500
Cd  0.500  0.500  0.000
Au  0.000  0.500  0.250
Au  0.000  0.500  0.750
Au  0.500  0.000  0.250
Au  0.500  0.000  0.750

Entry from OQMD via LeMat-Bulk: TbHo2Cd3Au3 after structural relaxation (PBE-GGA).

Values from the calculation:
- magnetization (μB/cell) = 0.0
- uncorrected energy (eV/atom) = -3.584

Lattice parameters (Å, degrees): 3.902 7.793 7.793 120.11 90.00 90.00
Fractional coordinates of all 9 atoms:
Tb  0.000  0.000  0.000
Ho  0.000  0.403  0.806
Ho  0.000  0.806  0.403
Cd  0.500  0.141  0.404
Cd  0.500  0.404  0.141
Cd  0.500  0.665  0.665
Au  0.000  0.404  0.404
Au  0.500  0.070  0.735
Au  0.500  0.735  0.070

Entry from OQMD via LeMat-Bulk: HoTmCd2Au4 after structural relaxation (PBE-GGA).

Values from the calculation:
- magnetization (μB/cell) = 0.0
- uncorrected energy (eV/atom) = -3.667

Lattice parameters (Å, degrees): 4.904 4.904 6.937 90.00 90.00 90.00
Fractional coordinates of all 8 atoms:
Ho  0.000  0.000  0.000
Tm  0.500  0.500  0.500
Cd  0.000  0.000  0.500
Cd  0.500  0.500  0.000
Au  0.000  0.500  0.250
Au  0.000  0.500  0.750
Au  0.500  0.000  0.250
Au  0.500  0.000  0.750

Entry from OQMD via LeMat-Bulk: Y2HoCd3Au3 after structural relaxation (PBE-GGA).

Values from the calculation:
- magnetization (μB/cell) = 0.0
- uncorrected energy (eV/atom) = -4.004

Lattice parameters (Å, degrees): 3.906 7.793 7.793 119.87 90.00 90.00
Fractional coordinates of all 9 atoms:
Y  0.000  0.201  0.799
Y  0.000  0.799  0.201
Ho  0.000  0.395  0.395
Cd  0.500  0.060  0.060
Cd  0.500  0.536  0.798
Cd  0.500  0.798  0.536
Au  0.000  0.797  0.797
Au  0.500  0.134  0.465
Au  0.500  0.465  0.134

Entry from OQMD via LeMat-Bulk: HoZrCd2Au4 after structural relaxation (PBE-GGA).

Values from the calculation:
- magnetization (μB/cell) = 0.0
- uncorrected energy (eV/atom) = -4.067

Lattice parameters (Å, degrees): 4.861 4.861 6.861 90.00 90.00 90.00
Fractional coordinates of all 8 atoms:
Ho  0.000  0.000  0.000
Zr  0.500  0.500  0.500
Cd  0.000  0.000  0.500
Cd  0.500  0.500  0.000
Au  0.000  0.500  0.261
Au  0.000  0.500  0.739
Au  0.500  0.000  0.261
Au  0.500  0.000  0.739

Entry from OQMD via LeMat-Bulk: CdAu2I4 after structural relaxation (PBE-GGA).

Values from the calculation:
- uncorrected energy (eV/atom) = -2.171

Lattice parameters (Å, degrees): 7.945 7.945 7.945 132.53 132.53 69.40
Fractional coordinates of all 7 atoms:
Cd  0.000  0.000  0.000
Au  0.250  0.750  0.500
Au  0.500  0.500  0.000
I  0.111  0.132  0.505
I  0.394  0.889  0.021
I  0.627  0.606  0.495
I  0.868  0.373  0.979

Entry from OQMD via LeMat-Bulk: CdInAu2 after structural relaxation (PBE-GGA).

Values from the calculation:
- uncorrected energy (eV/atom) = -2.583

Lattice parameters (Å, degrees): 4.855 4.855 4.855 60.00 60.00 60.00
Fractional coordinates of all 4 atoms:
Cd  0.000  0.000  0.000
In  0.750  0.750  0.750
Au  0.250  0.250  0.250
Au  0.500  0.500  0.500

Entry from OQMD via LeMat-Bulk: Li2Cd2In2IrAu after structural relaxation (PBE-GGA).

Values from the calculation:
- magnetization (μB/cell) = 0.0
- uncorrected energy (eV/atom) = -3.202

Lattice parameters (Å, degrees): 4.627 4.627 6.679 90.00 90.00 90.00
Fractional coordinates of all 8 atoms:
Li  0.000  0.000  0.000
Li  0.500  0.500  0.500
Cd  0.000  0.500  0.243
Cd  0.500  0.000  0.757
In  0.000  0.500  0.765
In  0.500  0.000  0.235
Ir  0.500  0.500  0.000
Au  0.000  0.000  0.500

Entry from OQMD via LeMat-Bulk: Pr3Cd2InIr2Au after structural relaxation (PBE-GGA).

Values from the calculation:
- magnetization (μB/cell) = 0.0
- uncorrected energy (eV/atom) = -5.011

Lattice parameters (Å, degrees): 4.064 7.772 7.772 120.19 90.00 90.00
Fractional coordinates of all 9 atoms:
Pr  0.000  0.000  0.000
Pr  0.000  0.411  0.826
Pr  0.000  0.826  0.411
Cd  0.500  0.152  0.413
Cd  0.500  0.413  0.152
In  0.500  0.672  0.672
Ir  0.500  0.072  0.744
Ir  0.500  0.744  0.072
Au  0.000  0.414  0.414

Entry from OQMD via LeMat-Bulk: La3CdIn2PdAu2 after structural relaxation (PBE-GGA).

Values from the calculation:
- magnetization (μB/cell) = 0.0
- uncorrected energy (eV/atom) = -4.412

Lattice parameters (Å, degrees): 4.143 7.945 7.945 119.69 90.00 90.00
Fractional coordinates of all 9 atoms:
La  0.000  0.000  0.000
La  0.000  0.412  0.819
La  0.000  0.819  0.412
Cd  0.500  0.658  0.658
In  0.500  0.166  0.410
In  0.500  0.410  0.166
Pd  0.000  0.404  0.404
Au  0.500  0.079  0.744
Au  0.500  0.744  0.079

Entry from OQMD via LeMat-Bulk: La3Cd2InPt2Au after structural relaxation (PBE-GGA).

Values from the calculation:
- magnetization (μB/cell) = 0.0
- uncorrected energy (eV/atom) = -4.713

Lattice parameters (Å, degrees): 4.103 7.890 7.890 120.24 90.00 90.00
Fractional coordinates of all 9 atoms:
La  0.000  0.000  0.000
La  0.000  0.409  0.823
La  0.000  0.823  0.409
Cd  0.500  0.153  0.411
Cd  0.500  0.411  0.153
In  0.500  0.665  0.665
Pt  0.500  0.071  0.742
Pt  0.500  0.742  0.071
Au  0.000  0.412  0.412

Entry from OQMD via LeMat-Bulk: Li2Cd2In2PdAu after structural relaxation (PBE-GGA).

Values from the calculation:
- uncorrected energy (eV/atom) = -2.841

Lattice parameters (Å, degrees): 4.675 4.675 6.638 90.00 90.00 90.00
Fractional coordinates of all 8 atoms:
Li  0.000  0.000  0.000
Li  0.500  0.500  0.500
Cd  0.000  0.500  0.245
Cd  0.500  0.000  0.755
In  0.000  0.500  0.760
In  0.500  0.000  0.240
Pd  0.500  0.500  0.000
Au  0.000  0.000  0.500

Entry from OQMD via LeMat-Bulk: Li2ZnCd2InAu2 after structural relaxation (PBE-GGA).

Values from the calculation:
- uncorrected energy (eV/atom) = -2.348

Lattice parameters (Å, degrees): 4.627 4.627 6.624 90.00 90.00 90.00
Fractional coordinates of all 8 atoms:
Li  0.000  0.500  0.231
Li  0.500  0.000  0.769
Zn  0.500  0.500  0.000
Cd  0.000  0.000  0.000
Cd  0.500  0.500  0.500
In  0.000  0.000  0.500
Au  0.000  0.500  0.765
Au  0.500  0.000  0.235

Entry from OQMD via LeMat-Bulk: Na2Mg2CdInAu2 after structural relaxation (PBE-GGA).

Values from the calculation:
- uncorrected energy (eV/atom) = -2.255

Lattice parameters (Å, degrees): 4.849 4.849 6.872 90.00 90.00 90.00
Fractional coordinates of all 8 atoms:
Na  0.000  0.500  0.247
Na  0.500  0.000  0.753
Mg  0.000  0.000  0.000
Mg  0.500  0.500  0.500
Cd  0.500  0.500  0.000
In  0.000  0.000  0.500
Au  0.000  0.500  0.748
Au  0.500  0.000  0.252

Entry from OQMD via LeMat-Bulk: Na4CdIn2Au after structural relaxation (PBE-GGA).

Values from the calculation:
- uncorrected energy (eV/atom) = -2.045

Lattice parameters (Å, degrees): 5.073 5.073 7.233 90.00 90.00 90.00
Fractional coordinates of all 8 atoms:
Na  0.000  0.000  0.000
Na  0.000  0.500  0.238
Na  0.500  0.000  0.762
Na  0.500  0.500  0.500
Cd  0.000  0.000  0.500
In  0.000  0.500  0.758
In  0.500  0.000  0.242
Au  0.500  0.500  0.000

Entry from OQMD via LeMat-Bulk: Sm3Cd3In2Au after structural relaxation (PBE-GGA).

Values from the calculation:
- magnetization (μB/cell) = 0.0
- uncorrected energy (eV/atom) = -3.330

Lattice parameters (Å, degrees): 7.895 7.895 4.176 90.00 90.00 120.00
Fractional coordinates of all 9 atoms:
Sm  0.000  0.393  0.000
Sm  0.393  0.000  0.000
Sm  0.607  0.607  0.000
Cd  0.000  0.745  0.500
Cd  0.255  0.255  0.500
Cd  0.745  0.000  0.500
In  0.333  0.667  0.500
In  0.667  0.333  0.500
Au  0.000  0.000  0.000

Entry from OQMD via LeMat-Bulk: Sr2CdIn3Au2 after structural relaxation (PBE-GGA).

Values from the calculation:
- uncorrected energy (eV/atom) = -2.900

Lattice parameters (Å, degrees): 6.041 6.041 7.963 90.13 90.13 45.96
Fractional coordinates of all 8 atoms:
Sr  0.000  0.000  0.000
Sr  0.144  0.144  0.493
Cd  0.709  0.709  0.191
In  0.431  0.431  0.300
In  0.434  0.434  0.692
In  0.712  0.712  0.800
Au  0.289  0.289  0.993
Au  0.856  0.856  0.497

Entry from OQMD via LeMat-Bulk: SrCd2InAu after structural relaxation (PBE-GGA).

Values from the calculation:
- uncorrected energy (eV/atom) = -2.297

Lattice parameters (Å, degrees): 7.153 7.153 7.153 143.30 143.30 52.87
Fractional coordinates of all 5 atoms:
Sr  0.000  0.000  0.000
Cd  0.269  0.769  0.500
Cd  0.769  0.269  0.500
In  0.621  0.621  0.000
Au  0.408  0.408  0.000